# SiNiBi3, optimized geometry, DFT GGA-PBE
data_SiNiBi3
_space_group_name_H-M_alt 'P 1'
_space_group_IT_number 1
_cell_length_a 5.1457
_cell_length_b 5.1457
_cell_length_c 5.1457
_cell_angle_alpha 90.00
_cell_angle_beta 90.00
_cell_angle_gamma 90.00
loop_
_space_group_symop_operation_xyz
'x,y,z'
loop_
_atom_site_label
_atom_site_type_symbol
_atom_site_fract_x
_atom_site_fract_y
_atom_site_fract_z
Si1 Si 0.0000 0.0000 0.0000
Ni1 Ni 0.5000 0.5000 0.5000
Bi1 Bi 0.0000 0.5000 0.5000
Bi2 Bi 0.5000 0.0000 0.5000
Bi3 Bi 0.5000 0.5000 0.0000
# - Energy relative to the elements, uncorrected: 0.5906 eV per atom
# - Space-group type: Pm-3m, No. 221

***

# ScTeS3, optimized geometry, DFT GGA-PBE
data_ScTeS3
_space_group_name_H-M_alt 'P 1'
_space_group_IT_number 1
_cell_length_a 5.0038
_cell_length_b 5.0038
_cell_length_c 5.0038
_cell_angle_alpha 90.00
_cell_angle_beta 90.00
_cell_angle_gamma 90.00
loop_
_space_group_symop_operation_xyz
'x,y,z'
loop_
_atom_site_label
_atom_site_type_symbol
_atom_site_fract_x
_atom_site_fract_y
_atom_site_fract_z
Sc1 Sc 0.0000 0.0000 0.0000
Te1 Te 0.5000 0.5000 0.5000
S1 S 0.0000 0.5000 0.5000
S2 S 0.5000 0.0000 0.5000
S3 S 0.5000 0.5000 0.0000
# - Energy relative to the elements, uncorrected: 0.1218 eV per atom
# - Space-group type: Pm-3m, No. 221

***

# KTlSb2, optimized geometry, DFT GGA-PBE
data_KTlSb2
_space_group_name_H-M_alt 'P 1'
_space_group_IT_number 1
_cell_length_a 3.4159
_cell_length_b 5.6528
_cell_length_c 6.8293
_cell_angle_alpha 90.00
_cell_angle_beta 93.42
_cell_angle_gamma 90.00
loop_
_space_group_symop_operation_xyz
'x,y,z'
loop_
_atom_site_label
_atom_site_type_symbol
_atom_site_fract_x
_atom_site_fract_y
_atom_site_fract_z
K1 K 0.0000 0.0000 0.0000
Tl1 Tl 0.1147 0.5000 0.6769
Sb1 Sb 0.5411 0.5000 0.2717
Sb2 Sb 0.5595 0.0000 0.4771
# - Energy relative to the elements, uncorrected: -0.1481 eV per atom
# - Space-group type: Pm, No. 6

***

# CaNdTlIn, optimized geometry, DFT GGA-PBE
data_CaNdTlIn
_space_group_name_H-M_alt 'P 1'
_space_group_IT_number 1
_cell_length_a 4.4286
_cell_length_b 5.1067
_cell_length_c 5.1297
_cell_angle_alpha 90.00
_cell_angle_beta 90.00
_cell_angle_gamma 90.00
loop_
_space_group_symop_operation_xyz
'x,y,z'
loop_
_atom_site_label
_atom_site_type_symbol
_atom_site_fract_x
_atom_site_fract_y
_atom_site_fract_z
Ca1 Ca 0.0000 0.0000 0.0000
Nd1 Nd 0.0000 0.5000 0.5000
Tl1 Tl 0.5000 0.5000 0.0000
In1 In 0.5000 0.0000 0.5000
# - Space-group type: Pmmm, No. 47
# - Energy: -13.62 eV/cell

***

# La3TbTl3, optimized geometry, DFT GGA-PBE
data_La3TbTl3
_space_group_name_H-M_alt 'P 1'
_space_group_IT_number 1
_cell_length_a 9.7052
_cell_length_b 9.7052
_cell_length_c 9.7052
_cell_angle_alpha 90.00
_cell_angle_beta 90.00
_cell_angle_gamma 90.00
loop_
_space_group_symop_operation_xyz
'x,y,z'
loop_
_atom_site_label
_atom_site_type_symbol
_atom_site_fract_x
_atom_site_fract_y
_atom_site_fract_z
La1 La 0.0688 0.4312 0.5688
La2 La 0.1707 0.8293 0.3293
La3 La 0.1753 0.1753 0.1753
La4 La 0.3247 0.8247 0.6753
La5 La 0.3293 0.1707 0.8293
La6 La 0.4312 0.5688 0.0688
La7 La 0.5688 0.0688 0.4312
La8 La 0.6707 0.6707 0.6707
La9 La 0.6753 0.3247 0.8247
La10 La 0.8247 0.6753 0.3247
La11 La 0.8293 0.3293 0.1707
La12 La 0.9312 0.9312 0.9312
Tb1 Tb 0.0758 0.5758 0.9242
Tb2 Tb 0.4242 0.4242 0.4242
Tb3 Tb 0.5758 0.9242 0.0758
Tb4 Tb 0.9242 0.0758 0.5758
Tl1 Tl 0.0030 0.2574 0.8670
Tl2 Tl 0.1330 0.5030 0.2426
Tl3 Tl 0.2426 0.1330 0.5030
Tl4 Tl 0.2574 0.8670 0.0030
Tl5 Tl 0.3670 0.4970 0.7426
Tl6 Tl 0.4970 0.7426 0.3670
Tl7 Tl 0.5030 0.2426 0.1330
Tl8 Tl 0.6330 0.9970 0.7574
Tl9 Tl 0.7426 0.3670 0.4970
Tl10 Tl 0.7574 0.6330 0.9970
Tl11 Tl 0.8670 0.0030 0.2574
Tl12 Tl 0.9970 0.7574 0.6330
# - Space-group type: P2_13, No. 198
# - Energy: -114.63 eV/cell

***

# SiBr2, optimized geometry, DFT GGA-PBE
data_SiBr2
_space_group_name_H-M_alt 'P 1'
_space_group_IT_number 1
_cell_length_a 4.1264
_cell_length_b 4.1264
_cell_length_c 6.8285
_cell_angle_alpha 93.11
_cell_angle_beta 93.11
_cell_angle_gamma 65.16
loop_
_space_group_symop_operation_xyz
'x,y,z'
loop_
_atom_site_label
_atom_site_type_symbol
_atom_site_fract_x
_atom_site_fract_y
_atom_site_fract_z
Si1 Si 0.0000 0.0000 0.0000
Br1 Br 0.4780 0.1955 0.7755
Br2 Br 0.8045 0.5220 0.2245
# - Energy relative to the elements, uncorrected: -0.2730 eV per atom
# - Space-group type: C2, No. 5

***

# Hf3Pd4Au2, optimized geometry, DFT GGA-PBE
data_Hf3Pd4Au2
_space_group_name_H-M_alt 'P 1'
_space_group_IT_number 1
_cell_length_a 8.2313
_cell_length_b 8.2313
_cell_length_c 4.9722
_cell_angle_alpha 97.94
_cell_angle_beta 97.94
_cell_angle_gamma 73.20
loop_
_space_group_symop_operation_xyz
'x,y,z'
loop_
_atom_site_label
_atom_site_type_symbol
_atom_site_fract_x
_atom_site_fract_y
_atom_site_fract_z
Hf1 Hf 0.1333 0.8667 0.7500
Hf2 Hf 0.2128 0.4541 0.9120
Hf3 Hf 0.4541 0.2128 0.4120
Hf4 Hf 0.5459 0.7872 0.5880
Hf5 Hf 0.7872 0.5459 0.0880
Hf6 Hf 0.8667 0.1333 0.2500
Pd1 Pd 0.0941 0.3492 0.3581
Pd2 Pd 0.3213 0.5648 0.4731
Pd3 Pd 0.3492 0.0941 0.8581
Pd4 Pd 0.4352 0.6787 0.0269
Pd5 Pd 0.5648 0.3213 0.9731
Pd6 Pd 0.6508 0.9059 0.1419
Pd7 Pd 0.6787 0.4352 0.5269
Pd8 Pd 0.9059 0.6508 0.6419
Au1 Au 0.0147 0.7616 0.1947
Au2 Au 0.2384 0.9853 0.3053
Au3 Au 0.7616 0.0147 0.6947
Au4 Au 0.9853 0.2384 0.8053
# - Space-group type: C2/c, No. 15
# - Energy: -127.12 eV/cell

***

# Nb2VCuAu, optimized geometry, DFT GGA-PBE
data_Nb2VCuAu
_space_group_name_H-M_alt 'P 1'
_space_group_IT_number 1
_cell_length_a 4.5334
_cell_length_b 4.5334
_cell_length_c 4.8993
_cell_angle_alpha 90.00
_cell_angle_beta 90.00
_cell_angle_gamma 90.00
loop_
_space_group_symop_operation_xyz
'x,y,z'
loop_
_atom_site_label
_atom_site_type_symbol
_atom_site_fract_x
_atom_site_fract_y
_atom_site_fract_z
Nb1 Nb 0.0000 0.5000 0.0000
Nb2 Nb 0.5000 0.0000 0.0000
V1 V 0.0000 0.0000 0.0000
Cu1 Cu 0.5000 0.5000 0.5000
Au1 Au 0.0000 0.0000 0.5000
# - Space-group type: P4/mmm, No. 123
# - Energy: -31.45 eV/cell

***

# NaMg2In5, optimized geometry, DFT GGA-PBE
data_NaMg2In5
_space_group_name_H-M_alt 'P 1'
_space_group_IT_number 1
_cell_length_a 7.6656
_cell_length_b 7.6656
_cell_length_c 7.6656
_cell_angle_alpha 145.11
_cell_angle_beta 117.26
_cell_angle_gamma 73.85
loop_
_space_group_symop_operation_xyz
'x,y,z'
loop_
_atom_site_label
_atom_site_type_symbol
_atom_site_fract_x
_atom_site_fract_y
_atom_site_fract_z
Na1 Na 0.0000 0.0000 0.0000
Mg1 Mg 0.2554 0.7554 0.5000
Mg2 Mg 0.7446 0.2446 0.5000
In1 In 0.1736 0.3721 0.8016
In2 In 0.4295 0.6279 0.8016
In3 In 0.5000 0.0000 0.5000
In4 In 0.5705 0.3721 0.1984
In5 In 0.8264 0.6279 0.1984
# - Space-group type: Immm, No. 71
# - Energy: -18.29 eV/cell

***

# Ac2ZnCl, optimized geometry, DFT GGA-PBE
data_Ac2ZnCl
_space_group_name_H-M_alt 'P 1'
_space_group_IT_number 1
_cell_length_a 3.7688
_cell_length_b 3.7688
_cell_length_c 8.4820
_cell_angle_alpha 90.00
_cell_angle_beta 90.00
_cell_angle_gamma 90.00
loop_
_space_group_symop_operation_xyz
'x,y,z'
loop_
_atom_site_label
_atom_site_type_symbol
_atom_site_fract_x
_atom_site_fract_y
_atom_site_fract_z
Ac1 Ac 0.0000 0.0000 0.2285
Ac2 Ac 0.0000 0.0000 0.7715
Zn1 Zn 0.5000 0.5000 0.0000
Cl1 Cl 0.5000 0.5000 0.5000
# - Energy relative to the elements, uncorrected: -0.7462 eV per atom
# - Space-group type: P4/mmm, No. 123

***

# ZrAlCu2, optimized geometry, DFT GGA-PBE
data_ZrAlCu2
_space_group_name_H-M_alt 'P 1'
_space_group_IT_number 1
_cell_length_a 4.1126
_cell_length_b 4.1126
_cell_length_c 3.7491
_cell_angle_alpha 90.00
_cell_angle_beta 90.00
_cell_angle_gamma 90.00
loop_
_space_group_symop_operation_xyz
'x,y,z'
loop_
_atom_site_label
_atom_site_type_symbol
_atom_site_fract_x
_atom_site_fract_y
_atom_site_fract_z
Zr1 Zr 0.0000 0.0000 0.0000
Al1 Al 0.5000 0.5000 0.0000
Cu1 Cu 0.0000 0.5000 0.5000
Cu2 Cu 0.5000 0.0000 0.5000
# - Space-group type: P4/mmm, No. 123
# - Energy: -21.18 eV/cell

***

# Tb12Ru3Pt5, optimized geometry, DFT GGA-PBE
data_Tb12Ru3Pt5
_space_group_name_H-M_alt 'P 1'
_space_group_IT_number 1
_cell_length_a 14.3861
_cell_length_b 14.3861
_cell_length_c 14.3861
_cell_angle_alpha 109.47
_cell_angle_beta 109.47
_cell_angle_gamma 109.47
loop_
_space_group_symop_operation_xyz
'x,y,z'
loop_
_atom_site_label
_atom_site_type_symbol
_atom_site_fract_x
_atom_site_fract_y
_atom_site_fract_z
Tb1 Tb 0.0519 0.2242 0.1309
Tb2 Tb 0.0519 0.3277 0.9210
Tb3 Tb 0.0790 0.6309 0.4068
Tb4 Tb 0.0790 0.9481 0.6723
Tb5 Tb 0.0932 0.7242 0.6723
Tb6 Tb 0.0932 0.8691 0.4210
Tb7 Tb 0.1309 0.0519 0.2242
Tb8 Tb 0.1309 0.5790 0.9068
Tb9 Tb 0.1723 0.2242 0.5932
Tb10 Tb 0.1723 0.4481 0.5790
Tb11 Tb 0.2242 0.1309 0.0519
Tb12 Tb 0.2242 0.5932 0.1723
Tb13 Tb 0.2758 0.3277 0.9068
Tb14 Tb 0.2758 0.4481 0.3691
Tb15 Tb 0.3277 0.9068 0.2758
Tb16 Tb 0.3277 0.9210 0.0519
Tb17 Tb 0.3691 0.2758 0.4481
Tb18 Tb 0.3691 0.5932 0.9210
Tb19 Tb 0.4068 0.0790 0.6309
Tb20 Tb 0.4068 0.8277 0.7758
Tb21 Tb 0.4210 0.0932 0.8691
Tb22 Tb 0.4210 0.8277 0.5519
Tb23 Tb 0.4481 0.3691 0.2758
Tb24 Tb 0.4481 0.5790 0.1723
Tb25 Tb 0.5519 0.4210 0.8277
Tb26 Tb 0.5519 0.6309 0.7242
Tb27 Tb 0.5790 0.1723 0.4481
Tb28 Tb 0.5790 0.9068 0.1309
Tb29 Tb 0.5932 0.1723 0.2242
Tb30 Tb 0.5932 0.9210 0.3691
Tb31 Tb 0.6309 0.4068 0.0790
Tb32 Tb 0.6309 0.7242 0.5519
Tb33 Tb 0.6723 0.0790 0.9481
Tb34 Tb 0.6723 0.0932 0.7242
Tb35 Tb 0.7242 0.5519 0.6309
Tb36 Tb 0.7242 0.6723 0.0932
Tb37 Tb 0.7758 0.4068 0.8277
Tb38 Tb 0.7758 0.8691 0.9481
Tb39 Tb 0.8277 0.5519 0.4210
Tb40 Tb 0.8277 0.7758 0.4068
Tb41 Tb 0.8691 0.4210 0.0932
Tb42 Tb 0.8691 0.9481 0.7758
Tb43 Tb 0.9068 0.1309 0.5790
Tb44 Tb 0.9068 0.2758 0.3277
Tb45 Tb 0.9210 0.0519 0.3277
Tb46 Tb 0.9210 0.3691 0.5932
Tb47 Tb 0.9481 0.6723 0.0790
Tb48 Tb 0.9481 0.7758 0.8691
Ru1 Ru 0.1250 0.2500 0.3750
Ru2 Ru 0.1250 0.3750 0.7500
Ru3 Ru 0.2500 0.3750 0.1250
Ru4 Ru 0.2500 0.8750 0.6250
Ru5 Ru 0.3750 0.1250 0.2500
Ru6 Ru 0.3750 0.7500 0.1250
Ru7 Ru 0.6250 0.2500 0.8750
Ru8 Ru 0.6250 0.8750 0.7500
Ru9 Ru 0.7500 0.1250 0.3750
Ru10 Ru 0.7500 0.6250 0.8750
Ru11 Ru 0.8750 0.6250 0.2500
Ru12 Ru 0.8750 0.7500 0.6250
Pt1 Pt 0.0000 0.0000 0.0000
Pt2 Pt 0.0000 0.0000 0.5000
Pt3 Pt 0.0000 0.5000 0.0000
Pt4 Pt 0.0000 0.5000 0.5000
Pt5 Pt 0.1250 0.7500 0.8750
Pt6 Pt 0.1250 0.8750 0.2500
Pt7 Pt 0.2500 0.1250 0.8750
Pt8 Pt 0.2500 0.6250 0.3750
Pt9 Pt 0.3750 0.2500 0.6250
Pt10 Pt 0.3750 0.6250 0.7500
Pt11 Pt 0.5000 0.0000 0.0000
Pt12 Pt 0.5000 0.0000 0.5000
Pt13 Pt 0.5000 0.5000 0.0000
Pt14 Pt 0.5000 0.5000 0.5000
Pt15 Pt 0.6250 0.3750 0.2500
Pt16 Pt 0.6250 0.7500 0.3750
Pt17 Pt 0.7500 0.3750 0.6250
Pt18 Pt 0.7500 0.8750 0.1250
Pt19 Pt 0.8750 0.1250 0.7500
Pt20 Pt 0.8750 0.2500 0.1250
# - Space-group type: Ia-3d, No. 230
# - Energy: -484.90 eV/cell

***

no.,spin magnetization (Bohr magnetons per cell)
1,0.0
2,0.8
3,0.0
4,0.0
5,0.0
6,0.0
7,0.0
8,0.0
9,0.0
10,0.0
11,0.0
12,0.0